Density functional theory data (PBEsol) for a geometry-optimized Sr2CuBrO2 structure.

Raw formation energy in meV per atom: -2073
Symmetry: No. 166
VASP energy in eV per cell: -32.82
Magnetic moment in μB per cell: 0.00

Cell lengths 9.6480, 9.6480, 9.6480 Å; angles 23.99, 23.99, 23.99 degrees
Element x y z (fractional)
Sr 0.2470 0.2470 0.2470
Sr 0.7530 0.7530 0.7530
Cu 0.0000 0.0000 0.0000
Br 0.5000 0.5000 0.5000
O 0.0638 0.0638 0.0638
O 0.9362 0.9362 0.9362